(1)
Computed, not measured: CoAgW2 at its PBEsol-relaxed geometry at the meta-GGA SCAN level of DFT.

## Properties
Fermi-level density of states = 0.5577 states/eV/atom
Final energy = -186.27 eV for the cell shown

Cell: 2.6933 2.6933 7.9585 Å, 90.00 90.00 90.00°
Each line ends with the local moment (μB).
Sites, in units of the cell vectors:
W 0.5000 0.5000 0.2477  -0.03
W 0.0000 0.0000 0.9678  -0.05
Co 0.5000 0.5000 0.7642  1.06
Ag 0.0000 0.0000 0.5202  0.01

(2)
Computed, not measured: Co2Ag2W at its PBEsol-relaxed geometry at the meta-GGA SCAN level of DFT.

## Properties
Fermi-level density of states = 0.6696 states/eV/atom
Final energy = -162.12 eV for the cell shown

Cell: 3.5033 3.5033 6.4623 Å, 105.73 105.73 90.00°
Each line ends with the local moment (μB).
Sites, in units of the cell vectors:
W 0.0000 0.0000 0.0000  0.33
Co 0.4108 0.4108 0.8215  1.80
Co 0.5892 0.5892 0.1785  1.80
Ag 0.2500 0.7500 0.5000  0.05
Ag 0.7500 0.2500 0.5000  0.05

What did the first record say?
Computed, not measured: CoAgW2 at its PBEsol-relaxed geometry at the meta-GGA SCAN level of DFT.

## Properties
Fermi-level density of states = 0.5577 states/eV/atom
Final energy = -186.27 eV for the cell shown

Cell: 2.6933 2.6933 7.9585 Å, 90.00 90.00 90.00°
Each line ends with the local moment (μB).
Sites, in units of the cell vectors:
W 0.5000 0.5000 0.2477  -0.03
W 0.0000 0.0000 0.9678  -0.05
Co 0.5000 0.5000 0.7642  1.06
Ag 0.0000 0.0000 0.5202  0.01